Here is a geometry-optimized YPaMn4 structure from Alexandria. Energies are from GGA-PBE.

a = 7.2628 Å, b = 7.2628 Å, c = 7.2628 Å
α = 90.00°, β = 90.00°, γ = 90.00°
Space group F-43m (No. 216)
One atom of each set of equivalent atoms:
Y: 0.0000 0.0000 0.0000 x4
Pa: 0.2500 0.2500 0.7500 x4
Mn: 0.1243 0.1243 0.3757 x16

DOS at the Fermi energy in states/eV/cell: 28.16
ΔH_f (0 K) in meV/atom: 57
Uncorrected energy in eV/atom: -8.716
Calculated volume in A^3/atom: 15.96

---

Here is a geometry-optimized Pm2SmMgTe5 structure from Alexandria. Energies are from GGA-PBE.

a = 4.3667 Å, b = 18.9973 Å, c = 13.5779 Å
α = 90.00°, β = 90.00°, γ = 90.00°
Space group Cmc2_1 (No. 36)
One atom of each set of equivalent atoms:
Pm: 0.0000 0.1118 0.0000 x4
Pm: 0.0000 0.1342 0.6172 x4
Sm: 0.0000 0.2047 0.3260 x4
Mg: 0.0000 0.4484 0.7729 x4
Te: 0.0000 0.0481 0.3924 x4
Te: 0.0000 0.2831 0.9896 x4
Te: 0.0000 0.3145 0.6596 x4
Te: 0.0000 0.3671 0.3155 x4
Te: 0.0000 0.4950 0.0920 x4

DOS at the Fermi energy in states/eV/cell: 8.15
Uncorrected energy in eV/atom: -4.735
Formation energy (no corrections) in eV per atom: -1.232
Calculated volume in A^3/atom: 31.29

---

Here is a geometry-optimized TlAu2F6 structure from Alexandria. Energies are from GGA-PBE.

a = 14.0878 Å, b = 6.9139 Å, c = 8.1304 Å
α = 90.00°, β = 118.94°, γ = 90.00°
Space group C2/c (No. 15)
One atom of each set of equivalent atoms:
Tl: 0.0000 0.0459 0.2500 x4
Au: 0.1564 0.4546 0.1184 x8
F: 0.0197 0.2985 0.9768 x8
F: 0.1466 0.4347 0.3699 x8
F: 0.2000 0.0824 0.2347 x8

DOS at the Fermi energy in states/eV/cell: 11.42
Uncorrected energy in eV/atom: -3.397
Formation energy (no corrections) in eV per atom: -1.158
Calculated volume in A^3/atom: 19.25

---

Here is a geometry-optimized Sm4Tm3Mg structure from Alexandria. Energies are from GGA-PBE.

a = 3.5907 Å, b = 3.5907 Å, c = 19.3133 Å
α = 90.00°, β = 90.00°, γ = 90.00°
Space group P4/mmm (No. 123)
One atom of each set of equivalent atoms:
Sm: 0.0000 0.0000 0.1153 x2
Sm: 0.0000 0.0000 0.3720 x2
Tm: 0.5000 0.5000 0.2427 x2
Tm: 0.5000 0.5000 0.5000 x1
Mg: 0.5000 0.5000 0.0000 x1

DOS at the Fermi energy in states/eV/cell: 11.08
ΔH_f (0 K) in meV/atom: -3
Uncorrected energy in eV/atom: -4.238
Calculated volume in A^3/atom: 31.13

---

Here is a geometry-optimized AcTbPmEr structure from Alexandria. Energies are from GGA-PBE.

a = 3.7009 Å, b = 3.7009 Å, c = 10.2973 Å
α = 90.00°, β = 90.00°, γ = 90.00°
Space group P4mm (No. 99)
One atom of each set of equivalent atoms:
Ac: 0.0000 0.0000 0.0000 x1
Tb: 0.5000 0.5000 0.2629 x1
Pm: 0.5000 0.5000 0.7329 x1
Er: 0.0000 0.0000 0.4941 x1

DOS at the Fermi energy in states/eV/cell: 6.56
ΔH_f (0 K) in meV/atom: 54
Uncorrected energy in eV/atom: -4.459
Calculated volume in A^3/atom: 35.26

---

Here is a geometry-optimized YTaRe2 structure from Alexandria. Energies are from GGA-PBE.

a = 3.2888 Å, b = 4.7080 Å, c = 9.4229 Å
α = 90.00°, β = 90.00°, γ = 90.00°
Space group Cmm2 (No. 35)
One atom of each set of equivalent atoms:
Y: 0.0000 0.0000 0.0000 x2
Ta: 0.0000 0.5000 0.7050 x2
Re: 0.0000 0.0000 0.4786 x2
Re: 0.0000 0.5000 0.2612 x2

DOS at the Fermi energy in states/eV/cell: 6.53
ΔH_f (0 K) in meV/atom: 346
Uncorrected energy in eV/atom: -10.458
Calculated volume in A^3/atom: 18.24

---

Here is a geometry-optimized ScWCl2 structure from Alexandria. Energies are from GGA-PBE.

a = 3.2752 Å, b = 4.4191 Å, c = 13.6457 Å
α = 90.00°, β = 90.00°, γ = 90.00°
Space group Immm (No. 71)
One atom of each set of equivalent atoms:
Sc: 0.0000 0.0000 0.0000 x2
W: 0.0000 0.0000 0.5000 x2
Cl: 0.0000 0.5000 0.1387 x4

DOS at the Fermi energy in states/eV/cell: 5.68
Uncorrected energy in eV/atom: -5.993
Formation energy (no corrections) in eV per atom: -0.249
Calculated volume in A^3/atom: 24.69

---

Here is a geometry-optimized AlIr4Br structure from Alexandria. Energies are from GGA-PBE.

a = 7.4474 Å, b = 7.4474 Å, c = 7.4474 Å
α = 90.00°, β = 90.00°, γ = 90.00°
Space group F-43m (No. 216)
One atom of each set of equivalent atoms:
Al: 0.0000 0.0000 0.0000 x4
Ir: 0.1255 0.1255 0.3745 x16
Br: 0.2500 0.2500 0.7500 x4

DOS at the Fermi energy in states/eV/cell: 49.15
Uncorrected energy in eV/atom: -5.983
Formation energy (no corrections) in eV per atom: 0.827
Calculated volume in A^3/atom: 17.21

---

Here is a geometry-optimized VCu2As structure from Alexandria. Energies are from GGA-PBE.

a = 6.9117 Å, b = 6.9117 Å, c = 4.8837 Å
α = 90.00°, β = 90.00°, γ = 90.00°
Space group I-42d (No. 122)
One atom of each set of equivalent atoms:
V: 0.0000 0.0000 0.0000 x4
Cu: 0.2296 0.2500 0.6250 x8
As: 0.0000 0.0000 0.5000 x4

DOS at the Fermi energy in states/eV/cell: 9.98
ΔH_f (0 K) in meV/atom: 240
Uncorrected energy in eV/atom: -5.251
Calculated volume in A^3/atom: 14.58

---

Here is a geometry-optimized Li2GeF structure from Alexandria. Energies are from GGA-PBE.

a = 6.3113 Å, b = 6.3113 Å, c = 6.3113 Å
α = 90.00°, β = 90.00°, γ = 90.00°
Space group Fm-3m (No. 225)
One atom of each set of equivalent atoms:
Li: 0.2500 0.2500 0.2500 x8
Ge: 0.0000 0.0000 0.0000 x4
F: 0.0000 0.0000 0.5000 x4

DOS at the Fermi energy in states/eV/cell: 18.37
Uncorrected energy in eV/atom: -3.131
Formation energy (no corrections) in eV per atom: -0.552
Calculated volume in A^3/atom: 15.71

---

Here is a geometry-optimized EuMnIn structure from Alexandria. Energies are from GGA-PBE.

a = 4.9161 Å, b = 4.9161 Å, c = 3.7128 Å
α = 90.00°, β = 90.00°, γ = 120.00°
Space group P-6m2 (No. 187)
One atom of each set of equivalent atoms:
Eu: 0.0000 0.0000 0.0000 x1
Mn: 0.6667 0.3333 0.5000 x1
In: 0.3333 0.6667 0.5000 x1

DOS at the Fermi energy in states/eV/cell: 9.95
ΔH_f (0 K) in meV/atom: 49
Uncorrected energy in eV/atom: -7.345
Calculated volume in A^3/atom: 25.90

---

Here is a geometry-optimized BaAcHoIn structure from Alexandria. Energies are from GGA-PBE.

a = 8.3739 Å, b = 8.3739 Å, c = 8.3739 Å
α = 90.00°, β = 90.00°, γ = 90.00°
Space group F-43m (No. 216)
One atom of each set of equivalent atoms:
Ba: 0.0000 0.0000 0.0000 x4
Ac: 0.2500 0.2500 0.7500 x4
Ho: 0.0000 0.0000 0.5000 x4
In: 0.2500 0.2500 0.2500 x4

DOS at the Fermi energy in states/eV/cell: 22.40
ΔH_f (0 K) in meV/atom: 72
Uncorrected energy in eV/atom: -3.265
Calculated volume in A^3/atom: 36.70

---

Here is a geometry-optimized K3Hg7Sb structure from Alexandria. Energies are from GGA-PBE.

a = 5.3429 Å, b = 23.0250 Å, c = 11.7936 Å
α = 90.00°, β = 90.00°, γ = 90.00°
Space group Cmcm (No. 63)
One atom of each set of equivalent atoms:
K: 0.0000 0.1070 0.0564 x8
K: 0.0000 0.1939 0.7500 x4
Hg: 0.0000 0.2806 0.5010 x8
Hg: 0.0000 0.3464 0.7500 x4
Hg: 0.0000 0.3947 0.1228 x8
Hg: 0.0000 0.4729 0.6218 x8
Sb: 0.0000 0.0375 0.7500 x4

DOS at the Fermi energy in states/eV/cell: 18.93
Uncorrected energy in eV/atom: -1.061
Formation energy (no corrections) in eV per atom: -0.195
Calculated volume in A^3/atom: 32.97

---

Here is a geometry-optimized BaSrMg structure from Alexandria. Energies are from GGA-PBE.

a = 8.5780 Å, b = 4.2445 Å, c = 15.1070 Å
α = 90.00°, β = 90.00°, γ = 90.00°
Space group Pnma (No. 62)
One atom of each set of equivalent atoms:
Ba: 0.1294 0.2500 0.1057 x4
Sr: 0.1203 0.2500 0.3878 x4
Mg: 0.1260 0.2500 0.7538 x4

DOS at the Fermi energy in states/eV/cell: 12.94
ΔH_f (0 K) in meV/atom: -32
Uncorrected energy in eV/atom: -1.765
Calculated volume in A^3/atom: 45.84

---

Here is a geometry-optimized PdPtRhSe5 structure from Alexandria. Energies are from GGA-PBE.

a = 7.6484 Å, b = 11.4687 Å, c = 8.1836 Å
α = 90.00°, β = 104.41°, γ = 90.00°
Space group C2/c (No. 15)
One atom of each set of equivalent atoms:
Pd: 0.0000 0.0704 0.2500 x4
Pt: 0.2500 0.2500 0.0000 x4
Rh: 0.0000 0.4499 0.2500 x4
Se: 0.0000 0.3314 0.7500 x4
Se: 0.0409 0.2579 0.4142 x8
Se: 0.2373 0.4640 0.0770 x8

DOS at the Fermi energy in states/eV/cell: 17.05
Uncorrected energy in eV/atom: -4.632
Formation energy (no corrections) in eV per atom: -0.131
Calculated volume in A^3/atom: 21.73

---

Here is a geometry-optimized CoHSBr structure from Alexandria. Energies are from GGA-PBE.

a = 2.7736 Å, b = 3.1028 Å, c = 9.3275 Å
α = 90.75°, β = 95.36°, γ = 116.38°
Space group P1 (No. 1)
One atom of each set of equivalent atoms:
Co: 0.0000 0.0000 0.0000 x1
H: 0.6654 0.2715 0.0963 x1
S: 0.2594 0.6021 0.8654 x1
Br: 0.1348 0.0223 0.4536 x1

DOS at the Fermi energy in states/eV/cell: 1.71
Uncorrected energy in eV/atom: -3.973
Calculated volume in A^3/atom: 17.87

---

Here is a geometry-optimized K3Pr3PaTe8 structure from Alexandria. Energies are from GGA-PBE.

a = 9.1886 Å, b = 9.1886 Å, c = 25.1683 Å
α = 90.00°, β = 90.00°, γ = 120.00°
Space group R-3m (No. 166, hexagonal axes)
One atom of each set of equivalent atoms:
K: 0.0000 0.5000 0.0000 x9
Pr: 0.0000 0.5000 0.5000 x9
Pa: 0.0000 0.0000 0.5000 x3
Te: 0.0000 0.0000 0.2388 x6
Te: 0.0095 0.5048 0.2363 x18

DOS at the Fermi energy in states/eV/cell: 11.22
Uncorrected energy in eV/atom: -4.777
Formation energy (no corrections) in eV per atom: -1.293
Calculated volume in A^3/atom: 40.89

---

Here is a geometry-optimized Mg2BeAs structure from Alexandria. Energies are from GGA-PBE.

a = 6.6307 Å, b = 6.6307 Å, c = 6.6307 Å
α = 90.00°, β = 90.00°, γ = 90.00°
Space group F-43m (No. 216)
One atom of each set of equivalent atoms:
Mg: 0.0000 0.0000 0.0000 x4
Mg: 0.2500 0.2500 0.2500 x4
Be: 0.2500 0.2500 0.7500 x4
As: 0.0000 0.0000 0.5000 x4

DOS at the Fermi energy in states/eV/cell: 11.34
ΔH_f (0 K) in meV/atom: 341
Uncorrected energy in eV/atom: -2.550
Calculated volume in A^3/atom: 18.22

---

Here is a geometry-optimized HgGeI2O structure from Alexandria. Energies are from GGA-PBE.

a = 6.0380 Å, b = 6.0380 Å, c = 4.0579 Å
α = 90.00°, β = 90.00°, γ = 90.00°
Space group P4/mmm (No. 123)
One atom of each set of equivalent atoms:
Hg: 0.0000 0.0000 0.0000 x1
Ge: 0.5000 0.5000 0.5000 x1
I: 0.0000 0.5000 0.0000 x2
O: 0.0000 0.0000 0.5000 x1

DOS at the Fermi energy in states/eV/cell: 4.45
Uncorrected energy in eV/atom: -2.247
Formation energy (no corrections) in eV per atom: 0.349
Calculated volume in A^3/atom: 29.59

---

Here is a geometry-optimized KHfSe3 structure from Alexandria. Energies are from GGA-PBE.

a = 5.2469 Å, b = 5.2469 Å, c = 5.2469 Å
α = 90.00°, β = 90.00°, γ = 90.00°
Space group Pm-3m (No. 221)
One atom of each set of equivalent atoms:
K: 0.0000 0.0000 0.0000 x1
Hf: 0.5000 0.5000 0.5000 x1
Se: 0.0000 0.5000 0.5000 x3

DOS at the Fermi energy in states/eV/cell: 2.40
Uncorrected energy in eV/atom: -5.386
Formation energy (no corrections) in eV per atom: -1.085
Calculated volume in A^3/atom: 28.89